[1]
Density functional theory data (PBE-GGA) for a relaxed structure of TbPa2Pb.

```
TbPa2Pb
1.0
0.0000 3.8037 3.8037
3.8037 0.0000 3.8037
3.8037 3.8037 0.0000
Tb Pa Pb
1 2 1
Cartesian
0.0000 0.0000 0.0000 Tb
1.9019 1.9019 1.9019 Pa
5.7056 5.7056 5.7056 Pa
3.8037 3.8037 3.8037 Pb
```

Results
- ΔE_f: 1.6 eV per formula unit
- Total magnetic moment: 0.001 μB per formula unit
- Calculated volume: 27.5 Å³ per atom
- Density: 12.5 g/cm3

[2]
Density functional theory data (PBE-GGA) for a relaxed structure of Tb2HoCd.

```
Tb2HoCd
1.0
0.0000 3.8482 3.8482
3.8482 0.0000 3.8482
3.8482 3.8482 0.0000
Tb Ho Cd
2 1 1
Cartesian
1.9241 1.9241 1.9241 Tb
5.7723 5.7723 5.7723 Tb
0.0000 0.0000 0.0000 Ho
3.8482 3.8482 3.8482 Cd
```

Results
- ΔE_f: -0.1 eV per formula unit
- Total magnetic moment: 0.005 μB per formula unit
- Calculated volume: 28.5 Å³ per atom
- Density: 8.7 g/cm3

[3]
Density functional theory data (PBE-GGA) for a relaxed structure of ErMg2Zr.

```
ErMg2Zr
1.0
3.2939 0.0000 0.0000
0.0000 4.9131 0.0000
0.0000 0.0000 12.2893
Er Mg Zr
2 4 2
Cartesian
0.8235 1.2283 2.4705 Er
2.4704 3.6849 9.8188 Er
0.8235 1.2283 8.3919 Mg
0.8235 3.6849 6.6953 Mg
2.4704 1.2283 5.5940 Mg
2.4704 3.6849 3.8973 Mg
0.8235 1.2283 11.6049 Zr
2.4704 3.6849 0.6843 Zr
```

Results
- ΔE_f: 0.0 eV per formula unit
- Total magnetic moment: 0.000 μB per formula unit
- Calculated volume: 24.9 Å³ per atom
- Density: 5.1 g/cm3

[4]
Density functional theory data (PBE-GGA) for a relaxed structure of Hg4C5.

```
Hg4C5
1.0
-6.9637 6.9637 1.3133
6.9637 -6.9637 1.3133
6.9637 6.9637 -1.3133
Hg C
4 5
Cartesian
2.5590 0.0000 0.0000 Hg
11.3684 0.0000 0.0000 Hg
0.0000 2.5590 0.0000 Hg
0.0000 11.3684 0.0000 Hg
0.0000 0.0000 0.0000 C
3.4761 3.4761 0.0000 C
3.4876 -3.4876 1.3133 C
-3.4876 3.4876 1.3133 C
3.4876 3.4876 1.3133 C
```

Results
- ΔE_f: 10.5 eV per formula unit
- Total magnetic moment: 0.528 μB per formula unit
- Calculated volume: 28.3 Å³ per atom
- Density: 5.6 g/cm3

[5]
Density functional theory data (PBE-GGA) for a relaxed structure of K2CoSe.

```
K2CoSe
1.0
4.7999 0.0000 0.0000
0.0000 4.7999 0.0000
0.0000 0.0000 4.7258
K Co Se
2 1 1
Cartesian
0.0000 2.4000 0.0000 K
2.4000 0.0000 0.0000 K
0.0000 0.0000 2.3629 Co
2.4000 2.4000 2.3629 Se
```

Results
- E_form (uncorrected): 21.8 kJ per mole of atoms
- Total magnetic moment: 1.851 μB per formula unit
- Calculated volume: 27.2 Å³ per atom
- Density: 3.3 g/cm3

[6]
Density functional theory data (PBE-GGA) for a relaxed structure of Te2SeCl.

```
Te2SeCl
1.0
1.9193 1.1081 9.3296
-1.9193 1.1081 9.3296
0.0000 -2.2162 9.3296
Te Se Cl
2 1 1
Cartesian
0.0000 0.0000 2.7111 Te
0.0000 0.0000 25.2777 Te
0.0000 0.0000 13.9944 Se
0.0000 0.0000 0.0000 Cl
```

Results
- E_form (uncorrected): 7.3 kJ per mole of atoms
- Total magnetic moment: 0.000 μB per formula unit
- Calculated volume: 29.8 Å³ per atom
- Density: 5.2 g/cm3